Crystalline AlInCo2 at its relaxed geometry. Source: Alexandria, functional PBEsol.

Values from the calculation:
* SG: Cm (8)
* magnetization: 1.49 μB/f.u.
* energy relative to the elements: -0.045 eV/atom
* calculated volume: 13.400 A^3/atom

Cell: 2.860 4.287 4.839 Å, 108.11 107.19 90.00°
Site moments in Bohr magnetons follow the coordinates.
Fractional positions:
Al1 0.266 0.811 0.533  -0.01
Co1 0.735 0.286 0.469  0.80
Co2 0.012 0.957 0.023  0.79
In1 0.487 0.445 0.975  -0.03

---

Crystalline AlInCo at its relaxed geometry. Source: Alexandria, functional PBEsol.

Values from the calculation:
* SG: P-6m2 (187)
* magnetization: 0.00 μB/f.u.
* energy relative to the elements: 0.051 eV/atom
* calculated volume: 15.334 A^3/atom

Cell: 3.103 4.138 4.138 Å, 120.00 90.00 90.00°
Fractional positions:
Al1 0.000 0.000 0.000
In1 0.500 0.667 0.333
Co1 0.000 0.333 0.667